Record 1
Below is crystalline KMg2Pb at its relaxed geometry, with properties calculated at the GGA-PBE level. Values from VASP.

Results
- Raw total energy: -1.915 eV/atom
- Spin magnetization: 0.000 μB/atom
- DFT formation energy: 0.084 eV/atom
- Crystal system: orthorhombic

```
&SYSTEM
  ibrav = 0, nat = 4, ntyp = 3
/
ATOMIC_SPECIES
K 39.10 K.upf
Mg 24.30 Mg.upf
Pb 207.20 Pb.upf
CELL_PARAMETERS angstrom
3.3017 0.0000 0.0000
0.0000 4.7010 0.0000
0.0000 0.0000 8.3946
ATOMIC_POSITIONS crystal
K 0.0000 0.0000 0.0000
Mg 0.5000 0.5000 0.3096
Mg 0.5000 0.5000 0.6904
Pb 0.0000 0.0000 0.5000
```

Record 2
Below is crystalline K3MgPb at its relaxed geometry, with properties calculated at the GGA-PBE level. Values from VASP.

Results
- Raw total energy: -1.717 eV/atom
- Spin magnetization: 0.001 μB/atom
- DFT formation energy: 0.002 eV/atom
- Crystal system: orthorhombic

```
&SYSTEM
  ibrav = 0, nat = 10, ntyp = 3
/
ATOMIC_SPECIES
K 39.10 K.upf
Mg 24.30 Mg.upf
Pb 207.20 Pb.upf
CELL_PARAMETERS angstrom
-6.8165 4.5913 3.7647
6.8165 -4.5913 3.7647
6.8165 4.5913 -3.7647
ATOMIC_POSITIONS crystal
K 0.2033 0.0072 0.2104
K 0.2033 0.4928 0.6961
K 0.4047 0.7516 0.1531
K 0.5985 0.2516 0.8469
K 0.7967 0.5072 0.3039
K 0.7967 0.9928 0.7896
Mg 0.0005 0.0006 0.4999
Mg 0.5007 0.5006 0.5001
Pb 0.0033 0.2512 0.2521
Pb 0.9991 0.7512 0.7479
```

Record 3
Below is crystalline K2Mg12Pb7 at its relaxed geometry, with properties calculated at the GGA-PBE level. Values from VASP.

Results
- Raw total energy: -2.364 eV/atom
- Spin magnetization: 0.000 μB/atom
- DFT formation energy: -0.112 eV/atom
- Crystal system: trigonal

```
&SYSTEM
  ibrav = 0, nat = 21, ntyp = 3
/
ATOMIC_SPECIES
K 39.10 K.upf
Mg 24.30 Mg.upf
Pb 207.20 Pb.upf
CELL_PARAMETERS angstrom
12.1131 0.0000 0.0000
-6.0565 10.4902 0.0000
0.0000 0.0000 4.6042
ATOMIC_POSITIONS crystal
K 0.3333 0.6667 0.2552
K 0.6667 0.3333 0.7448
Mg 0.0544 0.4311 0.7498
Mg 0.1131 0.2606 0.2509
Mg 0.1475 0.8869 0.2509
Mg 0.2606 0.1475 0.7491
Mg 0.3767 0.9456 0.7498
Mg 0.4311 0.3767 0.2502
Mg 0.5689 0.6233 0.7498
Mg 0.6233 0.0544 0.2502
Mg 0.7394 0.8525 0.2509
Mg 0.8525 0.1131 0.7491
Mg 0.8869 0.7394 0.7491
Mg 0.9456 0.5689 0.2502
Pb 0.0000 0.0000 0.5000
Pb 0.1189 0.7050 0.7536
Pb 0.2950 0.4140 0.7536
Pb 0.4140 0.1189 0.2464
Pb 0.5860 0.8811 0.7536
Pb 0.7050 0.5860 0.2464
Pb 0.8811 0.2950 0.2464
```

Record 4
Below is crystalline KMgPb at its relaxed geometry, with properties calculated at the GGA-PBE level. Values from VASP.

Results
- Raw total energy: -2.284 eV/atom
- Spin magnetization: 0.000 μB/atom
- DFT formation energy: -0.151 eV/atom
- Crystal system: tetragonal

```
&SYSTEM
  ibrav = 0, nat = 6, ntyp = 3
/
ATOMIC_SPECIES
K 39.10 K.upf
Mg 24.30 Mg.upf
Pb 207.20 Pb.upf
CELL_PARAMETERS angstrom
4.9076 0.0000 0.0000
0.0000 4.9076 0.0000
0.0000 0.0000 8.6926
ATOMIC_POSITIONS crystal
K 0.2500 0.2500 0.1511
K 0.7500 0.7500 0.8489
Mg 0.2500 0.7500 0.5000
Mg 0.7500 0.2500 0.5000
Pb 0.2500 0.2500 0.7074
Pb 0.7500 0.7500 0.2926
```

Record 5
Below is crystalline K2MgPb at its relaxed geometry, with properties calculated at the GGA-PBE level. Values from VASP.

Results
- Raw total energy: -1.782 eV/atom
- Spin magnetization: 0.000 μB/atom
- DFT formation energy: 0.093 eV/atom
- Crystal system: monoclinic

```
&SYSTEM
  ibrav = 0, nat = 4, ntyp = 3
/
ATOMIC_SPECIES
K 39.10 K.upf
Mg 24.30 Mg.upf
Pb 207.20 Pb.upf
CELL_PARAMETERS angstrom
3.8564 0.0000 0.0000
0.0000 5.8294 0.0000
-0.0098 0.0000 6.6725
ATOMIC_POSITIONS crystal
K 0.0029 0.0000 0.2597
K 0.9971 0.0000 0.7403
Mg 0.5000 0.5000 0.0000
Pb 0.5000 0.5000 0.5000
```

Record 6
Below is crystalline KMg4Pb12 at its relaxed geometry, with properties calculated at the GGA-PBE level. Values from VASP.

Results
- Raw total energy: -2.919 eV/atom
- Spin magnetization: 0.000 μB/atom
- DFT formation energy: 0.139 eV/atom
- Crystal system: cubic

```
&SYSTEM
  ibrav = 0, nat = 17, ntyp = 3
/
ATOMIC_SPECIES
K 39.10 K.upf
Mg 24.30 Mg.upf
Pb 207.20 Pb.upf
CELL_PARAMETERS angstrom
-5.2015 5.2015 5.2015
5.2015 -5.2015 5.2015
5.2015 5.2015 -5.2015
ATOMIC_POSITIONS crystal
K 0.0000 0.0000 0.0000
Mg 0.0000 0.0000 0.5000
Mg 0.0000 0.5000 0.0000
Mg 0.5000 0.0000 0.0000
Mg 0.5000 0.5000 0.5000
Pb 0.1596 0.3535 0.5132
Pb 0.1596 0.6465 0.8061
Pb 0.1939 0.8404 0.3535
Pb 0.3535 0.1939 0.8404
Pb 0.3535 0.5132 0.1596
Pb 0.4868 0.8404 0.6465
Pb 0.5132 0.1596 0.3535
Pb 0.6465 0.4868 0.8404
Pb 0.6465 0.8061 0.1596
Pb 0.8061 0.1596 0.6465
Pb 0.8404 0.3535 0.1939
Pb 0.8404 0.6465 0.4868
```

Record 7
Below is crystalline KMg6Pb2 at its relaxed geometry, with properties calculated at the GGA-PBE level. Values from VASP.

Results
- Raw total energy: -2.059 eV/atom
- Spin magnetization: 0.000 μB/atom
- DFT formation energy: -0.050 eV/atom
- Crystal system: tetragonal

```
&SYSTEM
  ibrav = 0, nat = 9, ntyp = 3
/
ATOMIC_SPECIES
K 39.10 K.upf
Mg 24.30 Mg.upf
Pb 207.20 Pb.upf
CELL_PARAMETERS angstrom
4.8891 0.0000 0.0000
0.0000 4.8891 0.0000
0.0000 0.0000 10.5509
ATOMIC_POSITIONS crystal
K 0.0000 0.0000 0.0000
Mg 0.0000 0.0000 0.5000
Mg 0.0000 0.5000 0.3114
Mg 0.0000 0.5000 0.6886
Mg 0.5000 0.0000 0.3114
Mg 0.5000 0.0000 0.6886
Mg 0.5000 0.5000 0.5000
Pb 0.5000 0.5000 0.1501
Pb 0.5000 0.5000 0.8499
```

Record 8
Below is crystalline KMg2Pb at its relaxed geometry, with properties calculated at the GGA-PBE level. Values from VASP.

Results
- Raw total energy: -2.001 eV/atom
- Spin magnetization: 0.000 μB/atom
- DFT formation energy: -0.002 eV/atom
- Crystal system: orthorhombic

```
&SYSTEM
  ibrav = 0, nat = 4, ntyp = 3
/
ATOMIC_SPECIES
K 39.10 K.upf
Mg 24.30 Mg.upf
Pb 207.20 Pb.upf
CELL_PARAMETERS angstrom
3.3265 0.0000 0.0000
0.0000 4.4796 0.0000
0.0000 0.0000 8.3501
ATOMIC_POSITIONS crystal
K 0.0000 0.0000 0.0000
Mg 0.0000 0.0000 0.5067
Mg 0.5000 0.5000 0.3218
Pb 0.5000 0.5000 0.6981
```